The following is a DFT calculation (PBE) of a geometry-optimized Pm3Ho2Ni2 structure.

Structure (POSCAR):
```
Pm3Ho2Ni2
1.0
-2.6533 0.9327 -2.4011
-2.6921 -3.6794 4.3935
1.1851 7.4194 4.4202
Pm Ho Ni
3 2 2
Direct
0.1842 0.7991 0.5693
0.5000 0.0000 0.0000
0.8158 0.2009 0.4307
0.6411 0.4717 0.8105
0.3589 0.5283 0.1895
0.0565 0.8853 0.2276
0.9435 0.1147 0.7724
```

Properties
E = -5.199 eV per atom
Size of the total moment = 0.000 μB/f.u.